(1)
Here is MgCr2 at its PBEsol-relaxed geometry from the Alexandria database. Energies are from SCAN.

a b c (Å): 2.5092 4.2688 4.2688
angles (deg): 120.00 90.00 90.00
Element x y z (fractional)
Cr  0.5000  0.6667  0.3333
Mg  0.0000  0.0000  0.0000
Cr  0.5000  0.3333  0.6667

Results
DOS at the Fermi energy   3.3 states/eV per cell
Total magnetization   0.00 μB per cell
Energy of formation   0.60 eV/atom

(2)
Here is MgCr3 at its PBEsol-relaxed geometry from the Alexandria database. Energies are from SCAN.

a b c (Å): 2.9001 2.9001 6.3695
angles (deg): 90.00 90.00 90.00
Each line ends with the local moment (μB).
Element x y z (fractional)
Cr  0.0000  0.0000  0.2029  2.81
Cr  0.5000  0.5000  0.0000  -1.99
Mg  0.5000  0.5000  0.5000  -0.01
Cr  0.0000  0.0000  0.7971  2.81

Results
DOS at the Fermi energy   1.0 states/eV per cell
Total magnetization   3.94 μB per cell
Energy of formation   0.15 eV/atom

(3)
Here is Mg2Cr at its PBEsol-relaxed geometry from the Alexandria database. Energies are from SCAN.

a b c (Å): 3.0144 3.0144 7.2764
angles (deg): 90.00 90.00 120.00
Each line ends with the local moment (μB).
Element x y z (fractional)
Mg  0.3333  0.6667  0.3152  -0.01
Mg  0.6667  0.3333  0.6848  -0.01
Cr  0.0000  0.0000  0.0000  3.79

Results
DOS at the Fermi energy   1.9 states/eV per cell
Total magnetization   4.16 μB per cell
Energy of formation   0.28 eV/atom

(4)
Here is MgCr3 at its PBEsol-relaxed geometry from the Alexandria database. Energies are from SCAN.

a b c (Å): 5.1608 5.1608 5.1608
angles (deg): 90.00 90.00 90.00
Each line ends with the local moment (μB).
Element x y z (fractional)
Cr  0.5000  0.0000  0.0000  4.17
Cr  0.0000  0.5000  0.0000  4.17
Cr  0.0000  0.0000  0.5000  4.17
Mg  0.0000  0.0000  0.0000  0.02

Results
DOS at the Fermi energy   2.9 states/eV per cell
Total magnetization   14.63 μB per cell
Energy of formation   1.83 eV/atom

(5)
Here is Mg2Cr3 at its PBEsol-relaxed geometry from the Alexandria database. Energies are from SCAN.

a b c (Å): 2.7143 2.7143 11.5902
angles (deg): 83.28 83.28 60.00
Element x y z (fractional)
Cr  0.0589  0.0589  0.8232
Cr  0.9411  0.9411  0.1768
Mg  0.5424  0.5424  0.3727
Mg  0.4576  0.4576  0.6273
Cr  0.0000  0.0000  0.0000

Results
DOS at the Fermi energy   2.5 states/eV per cell
Total magnetization   0.00 μB per cell
Energy of formation   0.78 eV/atom

(6)
Here is Mg2Cr at its PBEsol-relaxed geometry from the Alexandria database. Energies are from SCAN.

a b c (Å): 3.0181 4.2080 10.5851
angles (deg): 101.47 98.20 90.00
Each line ends with the local moment (μB).
Element x y z (fractional)
Mg  0.9566  0.7066  0.9133  -0.02
Cr  0.6040  0.8540  0.2080  3.95
Mg  0.0434  0.2934  0.0867  -0.02
Cr  0.3960  0.1460  0.7920  3.95
Mg  0.8157  0.5657  0.6313  -0.01
Mg  0.1843  0.4343  0.3687  -0.01

Results
DOS at the Fermi energy   2.9 states/eV per cell
Total magnetization   8.91 μB per cell
Energy of formation   0.35 eV/atom

(7)
Here is Mg2Cr at its PBEsol-relaxed geometry from the Alexandria database. Energies are from SCAN.

a b c (Å): 2.9186 4.7811 4.7811
angles (deg): 120.00 90.00 90.00
Each line ends with the local moment (μB).
Element x y z (fractional)
Cr  0.5000  0.0000  0.0000  3.92
Mg  0.0000  0.6667  0.3333  -0.03
Mg  0.0000  0.3333  0.6667  -0.03

Results
DOS at the Fermi energy   1.1 states/eV per cell
Total magnetization   4.28 μB per cell
Energy of formation   0.21 eV/atom

(8)
Here is MgCr5 at its PBEsol-relaxed geometry from the Alexandria database. Energies are from SCAN.

a b c (Å): 4.7153 4.7153 4.7153
angles (deg): 60.00 60.00 60.00
Element x y z (fractional)
Cr  0.8767  0.3744  0.3744
Mg  0.0000  0.0000  0.0000
Cr  0.3744  0.3744  0.8767
Cr  0.3744  0.8767  0.3744
Cr  0.7500  0.7500  0.7500
Cr  0.3744  0.3744  0.3744

Results
DOS at the Fermi energy   2.3 states/eV per cell
Total magnetization   0.00 μB per cell
Energy of formation   0.34 eV/atom